# 1
Entry from Alexandria via LeMat-Bulk: a geometry-optimized SrMnPb2 structure (GGA-PBE).

E_tot (eV per atom): -4.416
Density of states at the Fermi level (states/eV per atom): 0.80

a = 3.988 Å, b = 3.988 Å, c = 7.510 Å
α = 90.00°, β = 90.00°, γ = 90.00°
Element x y z (fractional)
1 Sr 0.000 0.000 0.000
2 Mn 0.500 0.500 0.324
3 Pb 0.000 0.000 0.445
4 Pb 0.500 0.500 0.712

# 2
Entry from Alexandria via LeMat-Bulk: a geometry-optimized Tb5PmRu6 structure (GGA-PBE).

E_tot (eV per atom): -7.222
Density of states at the Fermi level (states/eV per atom): 0.95

a = 8.374 Å, b = 8.374 Å, c = 8.374 Å
α = 146.39°, β = 131.63°, γ = 60.19°
Element x y z (fractional)
1 Tb 0.000 0.000 0.000
2 Tb 0.167 0.667 0.500
3 Tb 0.332 0.332 0.000
4 Tb 0.668 0.668 0.000
5 Tb 0.833 0.333 0.500
6 Pm 0.500 0.000 0.500
7 Ru 0.081 0.832 0.249
8 Ru 0.248 0.500 0.748
9 Ru 0.417 0.168 0.249
10 Ru 0.583 0.832 0.751
11 Ru 0.752 0.500 0.252
12 Ru 0.919 0.168 0.751

# 3
Entry from Alexandria via LeMat-Bulk: a geometry-optimized LaHPd6 structure (GGA-PBE).

E_tot (eV per atom): -5.238
Density of states at the Fermi level (states/eV per atom): 1.18

a = 5.886 Å, b = 5.886 Å, c = 5.886 Å
α = 56.63°, β = 56.63°, γ = 56.63°
Element x y z (fractional)
1 La 0.000 0.000 0.000
2 H 0.500 0.500 0.500
3 Pd 0.083 0.595 0.595
4 Pd 0.405 0.405 0.917
5 Pd 0.405 0.917 0.405
6 Pd 0.595 0.083 0.595
7 Pd 0.595 0.595 0.083
8 Pd 0.917 0.405 0.405

# 4
Entry from Alexandria via LeMat-Bulk: a geometry-optimized LiPRuO2 structure (GGA-PBE).

E_form (uncorrected) (meV/atom): -476
E_tot (eV per atom): -5.779
E above lowest polymorph (meV/atom): 0
Density of states at the Fermi level (states/eV per atom): 0.75

a = 3.751 Å, b = 3.751 Å, c = 5.123 Å
α = 90.00°, β = 90.00°, γ = 90.00°
Element x y z (fractional)
1 Li 0.000 0.000 0.000
2 P 0.500 0.500 0.000
3 Ru 0.500 0.500 0.500
4 O 0.000 0.500 0.500
5 O 0.500 0.000 0.500